Record 1
PBE Se2ICl, optimized geometry; symmetry = R-3m; theoretical density = 4.2 g/cm³; total magnetization = 0.000 Bohr magnetons per cell; raw formation energy = 0.382 eV/atom; Fermi-level density of states = 0.317 states/eV/atom
1.0
-5.651 -5.657 4.227
-2.068 -6.344 6.105
-4.403 -3.166 7.238
I Se Cl
1 2 1
direct
0.500 0.500 0.500
0.905 0.905 0.905
0.095 0.095 0.095
0.000 0.000 0.000



Record 2
PBE Ti2AgAu, optimized geometry; symmetry = P4/mmm; theoretical density = 9.6 g/cm³; total magnetization = 1.479 Bohr magnetons per cell; Fermi-level density of states = 1.100 states/eV/atom; DFT formation energy = -117 meV per atom
1.0
2.938 0.000 0.000
0.000 2.938 0.000
0.000 0.000 8.016
Au Ag Ti
1 1 2
direct
0.500 0.500 0.000
0.500 0.500 0.500
0.000 0.000 0.755
0.000 0.000 0.245



Record 3
PBE Cr2CdNi, optimized geometry; symmetry = Pmmm; theoretical density = 7.9 g/cm³; total magnetization = 0.002 Bohr magnetons per cell; Fermi-level density of states = 0.243 states/eV/atom; DFT formation energy = 260 meV per atom
1.0
3.735 0.000 0.000
0.000 3.712 0.000
0.000 0.000 4.187
Cd Cr Ni
1 2 1
direct
0.000 0.500 0.500
0.000 0.000 0.000
0.500 0.500 0.000
0.500 0.000 0.500